The following is a DFT calculation (GGA-PBE) of an optimized crystal structure of CaPdPt.

Computed properties:
energy of formation	-77	kJ/mol of atoms
calculated density	9.839	g/cm³
E_tot	-93.8	eV per cell
polymorph energy (0 for the lowest one)	0.032	eV per atom
space group	R-3m
volume	345.89	Å³/cell
density of states at the Fermi level	1.67	states/eV/f.u.

a b c (Å): 5.4582 5.4582 13.7717
angles (deg): 78.57 78.57 60.00
Positions (direct):
Ca1 0.7348 0.7348 0.7955
Ca2 0.0405 0.0405 0.8784
Ca3 0.1813 0.1813 0.4560
Ca4 0.8187 0.8187 0.5440
Ca5 0.2652 0.2652 0.2045
Ca6 0.9595 0.9595 0.1216
Pd1 0.2194 0.7240 0.3325
Pd2 0.7240 0.7240 0.3325
Pd3 0.2760 0.7806 0.6675
Pd4 0.7806 0.2760 0.6675
Pd5 0.2760 0.2760 0.6675
Pd6 0.7240 0.2194 0.3325
Pt1 0.5000 0.0000 0.0000
Pt2 0.6115 0.6115 0.1655
Pt3 0.0000 0.5000 0.0000
Pt4 0.5000 0.5000 0.0000
Pt5 0.5000 0.5000 0.5000
Pt6 0.3885 0.3885 0.8345